! CaZnHg3 GGA-PBE relaxed; values from VASP
&SYSTEM
  ibrav = 0, nat = 5, ntyp = 3
/
ATOMIC_SPECIES
Ca 40.08 Ca.upf
Zn 65.41 Zn.upf
Hg 200.59 Hg.upf
ATOMIC_POSITIONS crystal
Ca 0.0000 0.0000 0.0000
Zn 0.5000 0.5000 0.5000
Hg 0.0000 0.0000 0.5000
Hg 0.0000 0.5000 0.0000
Hg 0.5000 0.0000 0.0000
CELL_PARAMETERS angstrom
6.1499 0.0000 0.0000
0.0000 6.1499 0.0000
0.0000 0.0000 6.1499
! - Energy relative to the elements: 0.295 eV/atom
! - N(E_F): 0.98 states/eV per atom
! - Energy above the most stable polymorph in this dataset: 0.510 eV per atom
! - Space group: Pm-3m